Here is an optimized crystal structure of LaRe2Ir from Alexandria via LeMat-Bulk. Energies are from PBE-GGA.

DFT formation energy	2.264	eV/f.u.
mass density	16099	kg/m³
size of the total moment	0.53	μB per formula unit
relative energy among the computed polymorphs	438.9	meV/atom
V	18.14	Å³ per atom

Lattice parameters (Å, degrees): 6.6211 6.6211 6.6211 90.00 90.00 90.00
With the nearest neighbours (Å) after each atom.
Space group F-43m (No. 216)
Unique sites:
La  0.0000  0.0000  0.0000 (multiplicity 4)  4 Re 2.87, 4 Ir 2.87
Re  0.0000  0.0000  0.5000 (multiplicity 4)  4 Ir 2.87, 4 Re 2.87
Re  0.2500  0.2500  0.2500 (multiplicity 4)  4 La 2.87, 4 Re 2.87
Ir  0.2500  0.2500  0.7500 (multiplicity 4)  4 La 2.87, 4 Re 2.87